i) Density functional theory data (PBE) for crystalline AlInI3 at its relaxed geometry.

Theoretical density: 4.54 Mg/m³
Crystal system: cubic
SG: Pm-3m, No. 221
Volume: 191.1 Å³/f.u.

a = 5.7601 Å, b = 5.7601 Å, c = 5.7601 Å
α = 90.00°, β = 90.00°, γ = 90.00°
Closest atoms and distances in Å follow each position.
Positions (direct):
Al 0.0000 0.0000 0.0000  6 I 2.88
In 0.5000 0.5000 0.5000  12 I 4.07
I 0.0000 0.0000 0.5000  2 Al 2.88
I 0.0000 0.5000 0.0000  2 Al 2.88
I 0.5000 0.0000 0.0000  2 Al 2.88

---

ii) Density functional theory data (PBE) for crystalline AlInI3 at its relaxed geometry.

Theoretical density: 3.91 Mg/m³
Crystal system: triclinic
SG: P1, No. 1
Volume: 222.2 Å³/f.u.

a = 4.3362 Å, b = 9.7504 Å, c = 11.8217 Å
α = 66.08°, β = 79.91°, γ = 77.80°
Closest atoms and distances in Å follow each position.
Positions (direct):
Al 0.0000 0.0000 0.0000  2 I 2.58-2.62, 2 Al 2.68
Al 0.4140 0.1376 0.0432  2 I 2.56-2.71, 2 Al 2.68
In 0.4431 0.7974 0.3260  6 I 3.33-3.68, 1 Al 3.63
In 0.9718 0.4142 0.6473  6 I 3.01-3.26
I 0.0878 0.0530 0.7617  1 Al 2.62
I 0.0881 0.7076 0.1087  1 Al 2.58
I 0.2891 0.2046 0.2366  1 Al 2.56
I 0.3713 0.4152 0.8565  1 Al 2.71
I 0.5636 0.4034 0.4670  2 In 3.05
I 0.8535 0.7561 0.5540  3 In 3.01-3.33

---

Which of them is the most stable? Correct choice: ii).

---

i) Density functional theory data (PBE) for crystalline AlIn2I5 at its relaxed geometry.

Theoretical density: 3.90 Mg/m³
Crystal system: monoclinic
SG: C2/c, No. 15
Volume: 379.8 Å³/f.u.

a = 11.9886 Å, b = 11.9886 Å, c = 15.9076 Å
α = 118.58°, β = 118.58°, γ = 51.67°
Closest atoms and distances in Å follow each position.
Positions (direct):
Al 0.0867 0.2555 0.3226  4 I 2.56-2.58
Al 0.2555 0.0867 0.8226  4 I 2.56-2.58
Al 0.7445 0.9133 0.1774  4 I 2.56-2.58
Al 0.9133 0.7445 0.6774  4 I 2.56-2.58
In 0.1871 0.5564 0.1851  4 I 3.34-3.69
In 0.2558 0.6706 0.5533  5 I 3.32-3.63
In 0.3294 0.7442 0.9467  5 I 3.32-3.63
In 0.4436 0.8129 0.3149  4 I 3.34-3.69
In 0.5564 0.1871 0.6851  4 I 3.34-3.69
In 0.6706 0.2558 0.0533  5 I 3.32-3.63
In 0.7442 0.3294 0.4467  5 I 3.32-3.63
In 0.8129 0.4436 0.8149  4 I 3.34-3.69
I 0.0424 0.1138 0.6635  1 Al 2.57
I 0.1138 0.0424 0.1635  1 Al 2.57
I 0.1512 0.2028 0.9706  1 Al 2.56
I 0.1928 0.5631 0.6961  1 Al 2.58
I 0.2028 0.1512 0.4706  1 Al 2.56
I 0.2119 0.3813 0.3418  1 Al 2.56
I 0.3739 0.5821 0.0997  4 In 3.32-3.46
I 0.3813 0.2119 0.8418  1 Al 2.56
I 0.4179 0.6261 0.4003  4 In 3.32-3.46
I 0.4369 0.8072 0.8039  1 Al 2.58
I 0.5631 0.1928 0.1961  1 Al 2.58
I 0.5821 0.3739 0.5997  4 In 3.32-3.46
I 0.6187 0.7881 0.1582  1 Al 2.56
I 0.6261 0.4179 0.9003  4 In 3.32-3.46
I 0.7881 0.6187 0.6582  1 Al 2.56
I 0.7972 0.8488 0.5294  1 Al 2.56
I 0.8072 0.4369 0.3039  1 Al 2.58
I 0.8488 0.7972 0.0294  1 Al 2.56
I 0.8862 0.9576 0.8365  1 Al 2.57
I 0.9576 0.8862 0.3365  1 Al 2.57

---

ii) Density functional theory data (PBE) for crystalline AlIn2I5 at its relaxed geometry.

Theoretical density: 3.76 Mg/m³
Crystal system: monoclinic
SG: Cm, No. 8
Volume: 393.7 Å³/f.u.

a = 8.1098 Å, b = 8.1098 Å, c = 8.2858 Å
α = 119.25°, β = 119.25°, γ = 90.08°
Closest atoms and distances in Å follow each position.
Positions (direct):
Al 0.0000 0.0000 0.0000  5 I 2.58-2.74
In 0.2048 0.7056 0.4116  4 I 3.42-3.43
In 0.7056 0.2048 0.4116  4 I 3.42-3.43
I 0.2835 0.2835 0.1019  1 Al 2.73
I 0.2826 0.8171 0.1001  1 Al 2.74
I 0.7850 0.7850 0.5694  1 Al 2.58
I 0.8171 0.2826 0.1001  1 Al 2.74
I 0.8172 0.8172 0.1003  1 Al 2.74

---

Which of them is the most stable? Correct choice: i).